Entry from Alexandria via LeMat-Bulk: Pm10Pr4Th after structural relaxation (PBE-GGA).

Geometry as POSCAR:
```
Pm10Pr4Th
1.0
-4.947 4.947 5.854
4.947 -4.947 5.854
4.947 4.947 -5.854
Pm Pr Th
10 4 1
direct
0.048 0.945 0.654
0.055 0.710 0.104
0.250 0.750 0.500
0.290 0.394 0.346
0.394 0.048 0.104
0.606 0.952 0.896
0.710 0.606 0.654
0.750 0.250 0.500
0.945 0.290 0.896
0.952 0.055 0.346
0.191 0.567 0.757
0.433 0.191 0.624
0.567 0.809 0.376
0.809 0.433 0.243
0.000 0.000 0.000
```

SG ... No. 87
Calculated formation energy ... 409 meV per atom